# PrFe3As3

A geometry-optimized PrFe3As3 structure (GGA-PBE, Alexandria).

Cell lengths 6.4525, 6.4525, 6.4525 Å; angles 90.00, 90.00, 90.00 degrees
Last column: magnetic moment on the atom in μB.
Element x y z (fractional)
Fe (0.5000, 0.7500, 0.0000)  1.42
Pr (0.0000, 0.0000, 0.0000)  0.03
Pr (0.5000, 0.5000, 0.5000)  0.03
As (0.7500, 0.5000, 0.0000)  -0.04
Fe (0.0000, 0.5000, 0.2500)  1.42
Fe (0.2500, 0.0000, 0.5000)  1.42
Fe (0.7500, 0.0000, 0.5000)  1.42
As (0.2500, 0.5000, 0.0000)  -0.04
As (0.5000, 0.0000, 0.2500)  -0.04
Fe (0.5000, 0.2500, 0.0000)  1.42
Fe (0.0000, 0.5000, 0.7500)  1.42
As (0.0000, 0.7500, 0.5000)  -0.04
As (0.5000, 0.0000, 0.7500)  -0.04
As (0.0000, 0.2500, 0.5000)  -0.04

Output
The energy relative to the elements comes out at -11.6 kJ per mole of atoms. Its space-group type is Pm-3n, No. 223. As for the magnetic moment: 4.34 μB/f.u. The calculated total energy comes out at -6.423 eV/atom.